# NaPrAu2

A relaxed structure of NaPrAu2 (PBE, the Alexandria database).

DFT formation energy: -0.5845 eV per atom
Final energy: -3.748 eV/atom
Density of states at the Fermi level: 0.764 states/eV per atom
Energy above the lowest structure with this stoichiometry: 0 kJ/mol of formula units
Magnetic moment: 0.00 μB per cell
Volume: 95.72 Å³/cell

Cell: 5.135 5.135 5.135 Å, 60.00 60.00 60.00°
Fractional coordinates of all 4 atoms:
Pr 0.000 0.000 0.000
Na 0.500 0.500 0.500
Au 0.750 0.750 0.750
Au 0.250 0.250 0.250